# 1
## ZnOs2 (GGA-PBE)

Data for crystalline ZnOs2 at its relaxed geometry.

Cell lengths 5.857, 5.857, 5.857 Å; angles 90.00, 90.00, 90.00 degrees
Atoms (fractional coordinates):
Zn1 0.000 0.000 0.000
Zn2 0.000 0.500 0.500
Zn3 0.500 0.000 0.500
Zn4 0.500 0.500 0.000
Os1 0.114 0.614 0.886
Os2 0.114 0.886 0.386
Os3 0.386 0.114 0.886
Os4 0.386 0.386 0.386
Os5 0.614 0.614 0.614
Os6 0.614 0.886 0.114
Os7 0.886 0.114 0.614
Os8 0.886 0.386 0.114

Values from the calculation:
For the formation energy, the calculation gives 1486 meV per atom. As for the excess energy over the best structure of this formula in the dataset: 1353 meV/atom. The space-group type is Pa-3, No. 205. As for the total magnetization: 0.000 μB per atom.



# 2
## ZnOs2 (GGA-PBE)

Data for crystalline ZnOs2 at its relaxed geometry.

Cell lengths 4.652, 4.652, 4.652 Å; angles 145.06, 131.90, 60.81 degrees
Atoms (fractional coordinates):
Zn1 0.000 0.000 0.000
Os1 0.329 0.329 0.000
Os2 0.671 0.671 0.000

Values from the calculation:
For the formation energy, the calculation gives 237 meV per atom. As for the excess energy over the best structure of this formula in the dataset: 103 meV/atom. The space-group type is Immm, No. 71. As for the total magnetization: 0.000 μB per atom.



# 3
## Zn4Os (GGA-PBE)

Data for crystalline Zn4Os at its relaxed geometry.

Cell lengths 4.820, 4.820, 4.820 Å; angles 97.74, 97.74, 136.95 degrees
Atoms (fractional coordinates):
Zn1 0.108 0.703 0.810
Zn2 0.297 0.108 0.405
Zn3 0.703 0.892 0.595
Zn4 0.892 0.297 0.190
Os1 0.500 0.500 0.000

Values from the calculation:
For the formation energy, the calculation gives 80 meV per atom. As for the excess energy over the best structure of this formula in the dataset: 0 meV/atom. The space-group type is I4/m, No. 87. As for the total magnetization: 0.000 μB per atom.



# 4
## ZrZn2Os (GGA-PBE)

Data for crystalline ZrZn2Os at its relaxed geometry.

Cell lengths 9.418, 9.418, 9.418 Å; angles 17.56, 17.56, 17.56 degrees
Atoms (fractional coordinates):
Zr1 0.000 0.000 0.000
Zn1 0.244 0.244 0.244
Zn2 0.496 0.496 0.496
Os1 0.754 0.754 0.754

Values from the calculation:
For the formation energy, the calculation gives 143 meV per atom. The space-group type is R3m, No. 160. As for the total magnetization: 0.000 μB per atom.



# 5
## Zr4Zn3Os (GGA-PBE)

Data for crystalline Zr4Zn3Os at its relaxed geometry.

Cell lengths 3.318, 3.318, 13.381 Å; angles 90.00, 90.00, 90.00 degrees
Atoms (fractional coordinates):
Zr1 0.000 0.000 0.121
Zr2 0.000 0.000 0.374
Zr3 0.000 0.000 0.626
Zr4 0.000 0.000 0.879
Zn1 0.500 0.500 0.250
Zn2 0.500 0.500 0.500
Zn3 0.500 0.500 0.750
Os1 0.500 0.500 0.000

Values from the calculation:
For the formation energy, the calculation gives -338 meV per atom. The space-group type is P4/mmm, No. 123. As for the total magnetization: 0.000 μB per atom.



# 6
## ZrZn2Os (GGA-PBE)

Data for crystalline ZrZn2Os at its relaxed geometry.

Cell lengths 10.066, 10.066, 10.066 Å; angles 158.05, 158.05, 31.24 degrees
Atoms (fractional coordinates):
Zr1 0.000 0.000 0.000
Zr2 0.750 0.250 0.500
Zn1 0.164 0.625 0.039
Zn2 0.375 0.414 0.539
Zn3 0.586 0.125 0.961
Zn4 0.875 0.836 0.461
Os1 0.250 0.750 0.500
Os2 0.500 0.500 0.000

Values from the calculation:
For the formation energy, the calculation gives 159 meV per atom. The space-group type is I-42d, No. 122. As for the total magnetization: 0.000 μB per atom.



# 7
## Zr6Zn5Os (GGA-PBE)

Data for crystalline Zr6Zn5Os at its relaxed geometry.

Cell lengths 7.448, 7.448, 6.678 Å; angles 90.00, 90.00, 143.13 degrees
Atoms (fractional coordinates):
Zr1 0.000 0.000 0.248
Zr2 0.000 0.000 0.752
Zr3 0.337 0.663 0.247
Zr4 0.337 0.663 0.753
Zr5 0.663 0.337 0.247
Zr6 0.663 0.337 0.753
Zn1 0.168 0.832 0.000
Zn2 0.171 0.829 0.500
Zn3 0.500 0.500 0.500
Zn4 0.829 0.171 0.500
Zn5 0.832 0.168 0.000
Os1 0.500 0.500 0.000

Values from the calculation:
For the formation energy, the calculation gives -321 meV per atom. The space-group type is Cmmm, No. 65. As for the total magnetization: 0.000 μB per atom.



# 8
## ZrZn2Os (GGA-PBE)

Data for crystalline ZrZn2Os at its relaxed geometry.

Cell lengths 3.863, 3.863, 4.360 Å; angles 90.00, 90.00, 90.00 degrees
Atoms (fractional coordinates):
Zr1 0.000 0.000 0.000
Zn1 0.000 0.500 0.500
Zn2 0.500 0.000 0.500
Os1 0.500 0.500 0.000

Values from the calculation:
For the formation energy, the calculation gives -108 meV per atom. The space-group type is P4/mmm, No. 123. As for the total magnetization: 0.000 μB per atom.